DFT (PBE) results for an optimized crystal structure of SiSe2.

energy relative to the elements, uncorrected: -0.73 eV/f.u.
total energy: -4.374 eV per atom

a b c (Å): 4.601 5.513 7.436
angles (deg): 75.10 77.97 85.06
Positions (direct):
Si 0.000 0.000 0.000
Si 0.346 0.308 0.999
Se 0.136 0.604 0.162
Se 0.603 0.079 0.229
Se 0.676 0.458 0.717
Se 0.842 0.030 0.718